(1)
A relaxed structure of LiPmZn2. Source: the Alexandria database, functional PBE.

The structure in POSCAR format:
```
LiPmZn2
1.0
-4.6989 1.1662 0.4676
-2.2788 -0.7360 4.2337
-1.3022 3.7929 2.7526
Zn Li Pm
2 1 1
Cartesian
-6.2099 3.1673 5.5904 Zn
-2.0700 1.0558 1.8635 Zn
-4.1400 2.1115 3.7270 Li
0.0000 0.0000 0.0000 Pm
```

- energy above the lowest structure with this stoichiometry (eV per atom) = 0.000
- total magnetic moment (μB per formula unit) = 0.000
- DFT formation energy (eV/atom) = -0.254
- crystal system = cubic
- DOS at the Fermi energy (states/eV/f.u.) = 3.4
- ρ (g/cm³) = 5.8

(2)
A relaxed structure of SiCO2. Source: the Alexandria database, functional PBE.

The structure in POSCAR format:
```
SiCO2
1.0
0.0000 2.5616 2.5616
2.5616 0.0000 2.5616
2.5616 2.5616 0.0000
Si C O
1 1 2
Cartesian
2.5616 2.5616 2.5616 Si
0.0000 0.0000 0.0000 C
1.2808 1.2808 1.2808 O
3.8424 3.8424 3.8424 O
```

- formation energy without anion corrections (meV/atom) = 1227
- energy above the lowest structure with this stoichiometry (eV per atom) = 1.537
- total magnetic moment (μB per formula unit) = 0.000
- crystal system = cubic
- DOS at the Fermi energy (states/eV/f.u.) = 1.9
- ρ (g/cm³) = 3.6

(3)
A relaxed structure of LiCu2Sb2. Source: the Alexandria database, functional PBE.

The structure in POSCAR format:
```
LiCu2Sb2
1.0
4.8632 0.0000 0.0000
0.0000 4.8632 0.0000
2.4316 2.4316 4.5913
Sb Cu Li
2 2 1
Cartesian
4.8632 2.4316 2.2957 Sb
2.4316 4.8632 2.2957 Sb
2.4316 2.4316 1.2283 Cu
4.8632 4.8632 3.3631 Cu
0.0000 0.0000 0.0000 Li
```

- formation energy without anion corrections (meV/atom) = 73
- energy above the lowest structure with this stoichiometry (eV per atom) = 0.130
- total magnetic moment (μB per formula unit) = 0.000
- crystal system = tetragonal
- DOS at the Fermi energy (states/eV/f.u.) = 3.4
- ρ (g/cm³) = 5.8

(4)
A relaxed structure of Hf3Zr3Tl. Source: the Alexandria database, functional PBE.

The structure in POSCAR format:
```
Hf3Zr3Tl
1.0
-1.6609 2.8447 -3.9984
-3.2685 -6.9185 -3.5646
-4.6853 4.6543 5.2575
Hf Zr Tl
6 6 2
Cartesian
-7.4987 -0.0086 -1.9254 Hf
-5.1516 -3.5373 -5.4109 Hf
-7.3057 -0.1832 1.2263 Hf
-2.3090 0.7636 -3.5317 Hf
-4.4631 4.1177 3.1055 Hf
-2.1160 0.5890 -0.3800 Hf
-7.1836 2.6929 -0.1342 Zr
-4.6980 1.7438 -1.8420 Zr
-5.1203 -3.7735 -2.2358 Zr
-4.4943 4.3539 -0.0696 Zr
-4.9166 -1.1634 -0.4634 Zr
-2.4310 -2.1125 -2.1712 Zr
-4.6282 1.5078 1.3172 Tl
-4.9864 -0.9274 -3.6227 Tl
```

- energy above the lowest structure with this stoichiometry (eV per atom) = 0.000
- total magnetic moment (μB per formula unit) = 0.000
- DFT formation energy (eV/atom) = 0.015
- crystal system = hexagonal
- DOS at the Fermi energy (states/eV/f.u.) = 7.9
- ρ (g/cm³) = 10.5

(5)
A relaxed structure of Mg3SnBi. Source: the Alexandria database, functional PBE.

The structure in POSCAR format:
```
Mg3SnBi
1.0
7.0598 0.0000 0.0000
0.0000 8.0554 0.3032
0.0000 -0.9741 9.3824
Mg Sn Bi
12 4 4
Cartesian
6.9574 7.0235 2.5060 Mg
0.1023 0.0578 7.1796 Mg
3.4276 0.5449 2.4884 Mg
3.6322 6.5364 7.1972 Mg
3.8229 5.4008 4.1167 Mg
3.2368 1.6805 5.5689 Mg
0.2931 2.1676 0.8777 Mg
6.7667 4.9137 8.8079 Mg
0.9987 4.5852 5.7441 Mg
6.0611 2.4961 3.9415 Mg
4.5286 2.0090 8.6327 Mg
2.5312 5.0723 1.0529 Mg
1.6353 7.3697 4.9698 Sn
5.4245 -0.2884 4.7158 Sn
5.1651 0.1986 0.0246 Sn
1.8946 6.8827 9.6610 Sn
5.4259 4.4778 1.7295 Bi
1.6339 2.6035 7.9561 Bi
1.8960 3.0906 3.2650 Bi
5.1638 3.9907 6.4206 Bi
```

- energy above the lowest structure with this stoichiometry (eV per atom) = 0.000
- total magnetic moment (μB per formula unit) = 0.000
- DFT formation energy (eV/atom) = -0.123
- crystal system = monoclinic
- DOS at the Fermi energy (states/eV/f.u.) = 2.3
- ρ (g/cm³) = 5.0

(6)
A relaxed structure of CdMoBr3. Source: the Alexandria database, functional PBE.

The structure in POSCAR format:
```
CdMoBr3
1.0
-2.7475 -2.5113 -3.7967
4.0343 -3.3975 -0.6722
-2.1085 -3.2281 3.6611
Mo Br Cd
1 3 1
Cartesian
0.0000 0.0000 0.0000 Mo
2.0172 -1.6987 -0.3361 Br
-1.0543 -1.6141 1.8305 Br
-1.3737 -1.2557 -1.8984 Br
-0.4109 -4.5685 -0.4039 Cd
```

- formation energy without anion corrections (meV/atom) = -38
- energy above the lowest structure with this stoichiometry (eV per atom) = 0.000
- total magnetic moment (μB per formula unit) = 3.000
- crystal system = cubic
- DOS at the Fermi energy (states/eV/f.u.) = 2.2
- ρ (g/cm³) = 4.9